(1)
A plane-wave DFT calculation with PBE-GGA was carried out for an optimized crystal structure of TaCo6Sb.

## Properties
formation energy from raw total energies = -0.069 eV per atom

Cell: 7.3155 10.3691 10.3753 Å, 90.00 90.00 90.00°
Last column: nearest neighbours and their distance in Å.
Space group Cmmm (No. 65)
One atom of each set of equivalent atoms:
Ta1 0.0000 0.0000 0.2478 (multiplicity 4)  12 Co 2.56-2.62
Ta2 0.0000 0.2460 0.0000 (multiplicity 4)  12 Co 2.54-2.63
Co1 0.0000 0.0000 0.0000 (multiplicity 2)  4 Ta 2.55-2.57, 8 Co 2.58
Co2 0.0000 0.0000 0.5000 (multiplicity 2)  2 Sb 2.57, 8 Co 2.58, 2 Ta 2.62
Co3 0.0000 0.2471 0.2469 (multiplicity 8)  8 Co 2.55-2.63, 2 Ta 2.56, 2 Sb 2.62-2.63
Co4 0.0000 0.5000 0.0000 (multiplicity 2)  2 Sb 2.58, 8 Co 2.59, 2 Ta 2.63
Co5 0.0000 0.5000 0.5000 (multiplicity 2)  8 Co 2.60, 4 Sb 2.61
Co6 0.2475 0.1233 0.3730 (multiplicity 16)  8 Co 2.56-2.63, 1 Ta 2.57, 3 Sb 2.59-2.63
Co7 0.2483 0.1261 0.1231 (multiplicity 16)  3 Ta 2.54-2.60, 8 Co 2.55-2.62, 1 Sb 2.61
Sb1 0.0000 0.2483 0.5000 (multiplicity 4)  12 Co 2.57-2.63
Sb2 0.0000 0.5000 0.2482 (multiplicity 4)  12 Co 2.58-2.62


(2)
A plane-wave DFT calculation with PBE-GGA was carried out for an optimized crystal structure of Tb2TmGa.

## Properties
distance to the lowest polymorph of the same formula = 5 kJ/mol of formula units
ΔH_f (0 K) = -0.26 eV/atom

Cell: 3.5155 3.5155 8.8859 Å, 90.00 90.00 90.00°
Last column: nearest neighbours and their distance in Å.
Space group P4/mmm (No. 123)
One atom of each set of equivalent atoms:
Tb1 0.0000 0.0000 0.2116 (multiplicity 2)  4 Ga 3.12
Tm1 0.5000 0.5000 0.5000 (multiplicity 1)  4 Tm 3.52, 8 Tb 3.57
Ga1 0.5000 0.5000 0.0000 (multiplicity 1)  8 Tb 3.12


(3)
A plane-wave DFT calculation with PBE-GGA was carried out for an optimized crystal structure of SmThAu2.

## Properties
ΔH_f (0 K) = -0.67 eV/atom

Cell: 5.2687 5.2687 3.6387 Å, 90.00 90.00 90.00°
Last column: nearest neighbours and their distance in Å.
Space group P4/mmm (No. 123)
One atom of each set of equivalent atoms:
Sm1 0.0000 0.0000 0.0000 (multiplicity 1)  8 Au 3.20
Th1 0.5000 0.5000 0.0000 (multiplicity 1)  8 Au 3.20
Au1 0.0000 0.5000 0.5000 (multiplicity 2)  4 Th 3.20, 4 Sm 3.20


(4)
A plane-wave DFT calculation with PBE-GGA was carried out for an optimized crystal structure of Ba2Au.

## Properties
ΔH_f (0 K) = -0.43 eV/atom

Cell: 5.6715 5.6715 4.0217 Å, 90.00 90.00 90.00°
Last column: nearest neighbours and their distance in Å.
Space group P4/mmm (No. 123)
One atom of each set of equivalent atoms:
Ba1 0.0000 0.5000 0.0000 (multiplicity 2)  4 Au 3.48
Au1 0.0000 0.0000 0.5000 (multiplicity 1)  8 Ba 3.48


(5)
A plane-wave DFT calculation with PBE-GGA was carried out for an optimized crystal structure of KLi2Nb.

## Properties
distance to the lowest polymorph of the same formula = 0 kJ/mol of formula units
ΔH_f (0 K) = 1.05 eV/atom

Cell: 7.6527 7.6527 7.6527 Å, 90.00 90.00 90.00°
Last column: nearest neighbours and their distance in Å.
Space group Fm-3m (No. 225)
One atom of each set of equivalent atoms:
K1 0.0000 0.0000 0.0000 (multiplicity 4)  8 Li 3.31
Li1 0.2500 0.2500 0.2500 (multiplicity 8)  4 Nb 3.31, 4 K 3.31
Nb1 0.0000 0.0000 0.5000 (multiplicity 4)  8 Li 3.31


(6)
A plane-wave DFT calculation with PBE-GGA was carried out for an optimized crystal structure of AcTbPmAl.

## Properties
ΔH_f (0 K) = 0.06 eV/atom

Cell: 7.8684 7.8684 7.8684 Å, 90.00 90.00 90.00°
Last column: nearest neighbours and their distance in Å.
Space group F-43m (No. 216)
One atom of each set of equivalent atoms:
Ac1 0.0000 0.0000 0.0000 (multiplicity 4)  4 Tb 3.41, 4 Pm 3.41
Tb1 0.2500 0.2500 0.7500 (multiplicity 4)  4 Ac 3.41, 4 Al 3.41
Pm1 0.2500 0.2500 0.2500 (multiplicity 4)  4 Ac 3.41, 4 Al 3.41
Al1 0.0000 0.0000 0.5000 (multiplicity 4)  4 Tb 3.41, 4 Pm 3.41


(7)
A plane-wave DFT calculation with PBE-GGA was carried out for an optimized crystal structure of La4PmNd10.

## Properties
ΔH_f (0 K) = 0.22 eV/atom

Cell: 11.6701 11.6701 8.0842 Å, 90.00 90.00 90.00°
Last column: nearest neighbours and their distance in Å.
Space group I4/mmm (No. 139)
One atom of each set of equivalent atoms:
La1 0.2266 0.2266 0.0000 (multiplicity 8)  8 Nd 3.55-3.68, 1 Pm 3.74
Pm1 0.0000 0.0000 0.0000 (multiplicity 2)  8 Nd 3.40, 4 La 3.74
Nd1 0.0000 0.2101 0.2912 (multiplicity 16)  4 Nd 3.38-3.47, 1 Pm 3.40, 4 La 3.55-3.68
Nd2 0.0000 0.5000 0.2500 (multiplicity 4)  4 Nd 3.40


(8)
A plane-wave DFT calculation with PBE-GGA was carried out for an optimized crystal structure of ZrTa2Ru2.

## Properties
distance to the lowest polymorph of the same formula = 0 kJ/mol of formula units
ΔH_f (0 K) = -0.37 eV/atom

Cell: 3.2690 4.5443 11.6235 Å, 90.00 98.06 90.00°
Last column: nearest neighbours and their distance in Å.
Space group P2_1/m (No. 11)
One atom of each set of equivalent atoms:
Zr1 0.1447 0.2500 0.2909 (multiplicity 2)  6 Ru 2.80-2.81, 2 Ta 2.98-2.99
Ta1 0.0473 0.7500 0.0936 (multiplicity 2)  8 Ru 2.69-2.81
Ta2 0.2462 0.7500 0.4919 (multiplicity 2)  4 Ta 2.80-2.81, 2 Ru 2.82, 2 Zr 2.98-2.99
Ru1 0.3541 0.2500 0.7078 (multiplicity 2)  4 Zr 2.80, 4 Ta 2.81-2.82
Ru2 0.4542 0.7500 0.9077 (multiplicity 2)  6 Ta 2.69-2.80, 2 Zr 2.81


(9)
A plane-wave DFT calculation with PBE-GGA was carried out for an optimized crystal structure of Fe2AgAu.

## Properties
ΔH_f (0 K) = 0.32 eV/atom

Cell: 6.2417 6.2417 6.2417 Å, 90.00 90.00 90.00°
Last column: nearest neighbours and their distance in Å.
Space group F-43m (No. 216)
One atom of each set of equivalent atoms:
Fe1 0.0000 0.0000 0.0000 (multiplicity 4)  4 Au 2.70, 4 Fe 2.70
Fe2 0.2500 0.2500 0.2500 (multiplicity 4)  4 Fe 2.70, 4 Ag 2.70
Ag1 0.0000 0.0000 0.5000 (multiplicity 4)  4 Fe 2.70, 4 Au 2.70
Au1 0.2500 0.2500 0.7500 (multiplicity 4)  4 Fe 2.70, 4 Ag 2.70


(10)
A plane-wave DFT calculation with PBE-GGA was carried out for an optimized crystal structure of Y3TlRu.

## Properties
distance to the lowest polymorph of the same formula = 0 kJ/mol of formula units
ΔH_f (0 K) = -0.35 eV/atom

Cell: 5.5959 6.2678 8.7926 Å, 102.37 100.17 113.47°
Last column: nearest neighbours and their distance in Å.
Space group P-1 (No. 2)
One atom of each set of equivalent atoms:
Y1 0.0523 0.1814 0.2718 (multiplicity 2)  2 Ru 2.81-2.86
Y2 0.2916 0.4326 0.7351 (multiplicity 2)  2 Ru 2.80-2.82
Y3 0.3016 0.8012 0.1043 (multiplicity 2)  3 Ru 2.91-3.24
Tl1 0.3346 0.7487 0.4918 (multiplicity 2)  1 Tl 2.90, 2 Y 3.19-3.22
Ru1 0.2467 0.2463 0.9972 (multiplicity 2)  6 Y 2.80-2.93


(11)
A plane-wave DFT calculation with PBE-GGA was carried out for an optimized crystal structure of SmYIrPb.

## Properties
distance to the lowest polymorph of the same formula = 74 kJ/mol of formula units
ΔH_f (0 K) = -0.45 eV/atom

Cell: 7.3436 7.3436 7.3436 Å, 90.00 90.00 90.00°
Last column: nearest neighbours and their distance in Å.
Space group F-43m (No. 216)
One atom of each set of equivalent atoms:
Sm1 0.0000 0.0000 0.0000 (multiplicity 4)  4 Pb 3.18, 4 Ir 3.18
Y1 0.0000 0.0000 0.5000 (multiplicity 4)  4 Ir 3.18, 4 Pb 3.18
Ir1 0.2500 0.2500 0.7500 (multiplicity 4)  4 Sm 3.18, 4 Y 3.18
Pb1 0.2500 0.2500 0.2500 (multiplicity 4)  4 Sm 3.18, 4 Y 3.18


(12)
A plane-wave DFT calculation with PBE-GGA was carried out for an optimized crystal structure of Nd4MgAl2Ag.

## Properties
ΔH_f (0 K) = -0.28 eV/atom

Cell: 5.3346 5.3346 26.2859 Å, 90.00 90.00 120.00°
Last column: nearest neighbours and their distance in Å.
Space group R-3m (No. 166, hexagonal axes)
One atom of each set of equivalent atoms:
Nd1 0.0000 0.0000 0.1218 (multiplicity 6)  1 Ag 3.20, 4 Al 3.21-3.25, 3 Mg 3.30
Nd2 0.0000 0.0000 0.3720 (multiplicity 6)  3 Ag 3.24, 4 Al 3.33-3.34, 1 Mg 3.36
Mg1 0.0000 0.0000 0.5000 (multiplicity 3)  8 Nd 3.30-3.36
Al1 0.0000 0.0000 0.2454 (multiplicity 6)  8 Nd 3.21-3.34
Ag1 0.0000 0.0000 0.0000 (multiplicity 3)  8 Nd 3.20-3.24


(13)
A plane-wave DFT calculation with PBE-GGA was carried out for an optimized crystal structure of Nd4AlZn2.

## Properties
ΔH_f (0 K) = -0.20 eV/atom

Cell: 5.1734 5.1734 24.9520 Å, 90.00 90.00 120.00°
Last column: nearest neighbours and their distance in Å.
Space group R-3m (No. 166, hexagonal axes)
One atom of each set of equivalent atoms:
Nd1 0.0000 0.0000 0.1183 (multiplicity 6)  4 Zn 3.08-3.16, 3 Al 3.22
Nd2 0.0000 0.0000 0.3704 (multiplicity 6)  4 Zn 3.14-3.25, 1 Al 3.23
Al1 0.0000 0.0000 0.5000 (multiplicity 3)  8 Nd 3.22-3.23, 6 Zn 3.57
Zn1 0.0000 0.0000 0.2448 (multiplicity 6)  8 Nd 3.08-3.25


(14)
A plane-wave DFT calculation with PBE-GGA was carried out for an optimized crystal structure of Ag5HgS4.

## Properties
formation energy from raw total energies = 0.048 eV per atom
distance to the lowest polymorph of the same formula = 59 kJ/mol of formula units

Cell: 3.8824 7.3315 14.5510 Å, 90.00 90.00 90.00°
Last column: nearest neighbours and their distance in Å.
Space group Immm (No. 71)
One atom of each set of equivalent atoms:
Ag1 0.0000 0.0000 0.0000 (multiplicity 2)  4 S 2.60
Ag2 0.0000 0.2831 0.3247 (multiplicity 8)  2 S 2.50-2.55
Hg1 0.0000 0.5000 0.0000 (multiplicity 2)  6 S 2.74-2.79
S1 0.0000 0.2643 0.5000 (multiplicity 4)  4 Ag 2.55-2.60, 2 Hg 2.74
S2 0.0000 0.5000 0.1920 (multiplicity 4)  2 Ag 2.50, 1 Hg 2.79


(15)
A plane-wave DFT calculation with PBE-GGA was carried out for an optimized crystal structure of Y2NbTc2.

## Properties
ΔH_f (0 K) = 0.00 eV/atom

Cell: 6.6732 6.6732 4.8437 Å, 90.00 90.00 90.00°
Last column: nearest neighbours and their distance in Å.
Space group P4/mbm (No. 127)
One atom of each set of equivalent atoms:
Y1 0.1771 0.3229 0.0000 (multiplicity 4)  6 Tc 3.04-3.18, 1 Y 3.34
Nb1 0.0000 0.0000 0.5000 (multiplicity 2)  4 Tc 2.62
Tc1 0.1288 0.6288 0.5000 (multiplicity 4)  1 Tc 2.43, 2 Nb 2.62


(16)
A plane-wave DFT calculation with PBE-GGA was carried out for an optimized crystal structure of VTc2Rh5.

## Properties
ΔH_f (0 K) = -0.23 eV/atom

Cell: 5.4278 8.6882 9.5362 Å, 90.00 90.00 90.00°
Last column: nearest neighbours and their distance in Å.
Space group Fmm2 (No. 42)
One atom of each set of equivalent atoms:
V1 0.0000 0.0000 0.0000 (multiplicity 4)  2 Tc 2.65, 10 Rh 2.68-2.78
Tc1 0.0000 0.2489 0.1613 (multiplicity 8)  1 V 2.65, 9 Rh 2.68-2.78, 2 Tc 2.71
Rh1 0.0000 0.0000 0.4986 (multiplicity 4)  2 Tc 2.68, 8 Rh 2.68-2.76, 2 V 2.71
Rh2 0.2501 0.0000 0.2460 (multiplicity 8)  4 Tc 2.68-2.69, 6 Rh 2.71-2.76, 2 V 2.71-2.78
Rh3 0.2500 0.2500 0.4157 (multiplicity 8)  6 Rh 2.68-2.71, 2 V 2.68, 4 Tc 2.71-2.78


(17)
A plane-wave DFT calculation with PBE-GGA was carried out for an optimized crystal structure of GaPbS2Cl.

## Properties
formation energy from raw total energies = -0.331 eV per atom
distance to the lowest polymorph of the same formula = 0 kJ/mol of formula units

Cell: 5.0766 5.0766 5.0239 Å, 90.00 90.00 90.00°
Last column: nearest neighbours and their distance in Å.
Space group P4/mmm (No. 123)
One atom of each set of equivalent atoms:
Ga1 0.0000 0.0000 0.0000 (multiplicity 1)  2 Cl 2.51, 4 S 2.54
Pb1 0.5000 0.5000 0.5000 (multiplicity 1)  8 S 3.57, 4 Cl 3.59
S1 0.0000 0.5000 0.0000 (multiplicity 2)  2 Ga 2.54
Cl1 0.0000 0.0000 0.5000 (multiplicity 1)  2 Ga 2.51


(18)
A plane-wave DFT calculation with PBE-GGA was carried out for an optimized crystal structure of Rb2Li3RuF12.

## Properties
formation energy from raw total energies = -2.146 eV per atom

Cell: 7.0096 7.0096 20.4661 Å, 90.00 90.00 120.00°
Last column: nearest neighbours and their distance in Å.
Space group R-3m (No. 166, hexagonal axes)
One atom of each set of equivalent atoms:
Rb1 0.0000 0.0000 0.0972 (multiplicity 6)  3 F 2.87
Li1 0.0000 0.5000 0.0000 (multiplicity 9)  4 F 1.91
Ru1 0.0000 0.0000 0.5000 (multiplicity 3)  6 F 1.90
F1 0.0693 0.5346 0.3566 (multiplicity 18)  2 Li 1.91
F2 0.0742 0.5371 0.1143 (multiplicity 18)  1 Ru 1.90


(19)
A plane-wave DFT calculation with PBE-GGA was carried out for an optimized crystal structure of VGeS2Cl.

## Properties
formation energy from raw total energies = 0.324 eV per atom
distance to the lowest polymorph of the same formula = 252 kJ/mol of formula units

Cell: 4.7801 4.7801 4.7075 Å, 90.00 90.00 90.00°
Last column: nearest neighbours and their distance in Å.
Space group P4/mmm (No. 123)
One atom of each set of equivalent atoms:
V1 0.0000 0.0000 0.0000 (multiplicity 1)  8 S 3.35, 4 Cl 3.38
Ge1 0.5000 0.5000 0.5000 (multiplicity 1)  2 Cl 2.35, 4 S 2.39
S1 0.0000 0.5000 0.5000 (multiplicity 2)  2 Ge 2.39
Cl1 0.5000 0.5000 0.0000 (multiplicity 1)  2 Ge 2.35


(20)
A plane-wave DFT calculation with PBE-GGA was carried out for an optimized crystal structure of Tb2AgRh.

## Properties
ΔH_f (0 K) = -0.46 eV/atom

Cell: 3.9697 3.9697 22.3715 Å, 90.00 90.00 120.00°
Last column: nearest neighbours and their distance in Å.
Space group R-3m (No. 166, hexagonal axes)
One atom of each set of equivalent atoms:
Tb1 0.0000 0.0000 0.2363 (multiplicity 6)  3 Rh 2.77
Ag1 0.0000 0.0000 0.0000 (multiplicity 3)  6 Tb 3.16
Rh1 0.0000 0.0000 0.5000 (multiplicity 3)  6 Tb 2.77


| no. | total DFT energy (no corrections) (eV per atom) | volume (Å³ per atom) |
| --- | --- | --- |
| 1 | -7.39 | 12.30 |
| 2 | -4.45 | 27.45 |
| 3 | -5.35 | 25.25 |
| 4 | -2.80 | 43.12 |
| 5 | -2.70 | 28.01 |
| 6 | -4.25 | 30.45 |
| 7 | -4.59 | 36.70 |
| 8 | -10.53 | 17.10 |
| 9 | -5.44 | 15.20 |
| 10 | -6.56 | 26.42 |
| 11 | -6.39 | 24.75 |
| 12 | -4.15 | 26.99 |
| 13 | -3.82 | 27.54 |
| 14 | -3.06 | 20.71 |
| 15 | -8.74 | 21.57 |
| 16 | -8.55 | 14.05 |
| 17 | -3.70 | 25.89 |
| 18 | -4.33 | 16.13 |
| 19 | -4.44 | 21.51 |
| 20 | -5.32 | 25.44 |